First-principles (PBE) data for a geometry-optimized Mg3Co2 structure, as listed in the Alexandria database.

Cell: 4.3619 4.3619 5.2923 Å, 90.00 90.00 120.00°
Atoms (fractional coordinates):
Mg 0.0000 0.0000 0.0000
Mg 0.3333 0.6667 0.3684
Mg 0.6667 0.3333 0.6316
Co 0.3333 0.6667 0.9014
Co 0.6667 0.3333 0.0986

Output
VASP energy, eV per atom: -3.567
Spin magnetization, μB per cell: 2.1
Space-group type: No. 164
Calculated formation energy, eV per atom: 0.232
Crystal system: trigonal